Density functional theory data (PBE) for a relaxed HoScFe4 crystal.

It has space group F-43m (No. 216), with a = 7.091 Å, b = 7.091 Å, c = 7.091 Å, α = 90.00°, β = 90.00° and γ = 90.00°. The inequivalent atoms are Ho at (0.000, 0.000, 0.000), Sc at (0.250, 0.250, 0.750) and Fe at (0.125, 0.125, 0.375).

Its density of states at the Fermi level is 1.0339 states/eV/atom. The formation energy is -175 meV per atom. The value obtained for the total energy is -7.6353 eV/atom.